1.
DFT (PBE-GGA) results for SrYNbRe2 after structural relaxation.

## Properties
Total moment   1.2 μB per formula unit
Raw total energy   -6.48 eV/atom
Mass density   8.3 g/cm3

Cell lengths 5.042, 5.042, 5.054 Å; angles 90.00, 90.00, 90.00 degrees
Space group P4/mmm (No. 123)
Symmetry-distinct sites (fractional):
1 Sr 0.000 0.000 0.000 x1
2 Y 0.500 0.500 0.500 x1
3 Nb 0.500 0.500 0.000 x1
4 Re 0.000 0.500 0.500 x2

2.
DFT (PBE-GGA) results for Tl2FePd2 after structural relaxation.

## Properties
Total moment   3.1 μB per formula unit
Raw total energy   -4.43 eV/atom
Mass density   11.6 g/cm3

Cell lengths 7.613, 7.613, 3.343 Å; angles 90.00, 90.00, 90.00 degrees
Space group P4/mbm (No. 127)
Symmetry-distinct sites (fractional):
1 Tl 0.157 0.343 0.000 x4
2 Fe 0.000 0.000 0.000 x2
3 Pd 0.143 0.643 0.500 x4

3.
DFT (PBE-GGA) results for NbAsAu2 after structural relaxation.

## Properties
Total moment   0.0 μB per formula unit
Raw total energy   -5.25 eV/atom
Mass density   12.3 g/cm3

Cell lengths 7.548, 7.548, 5.337 Å; angles 90.00, 90.00, 90.00 degrees
Space group I-42d (No. 122)
Symmetry-distinct sites (fractional):
1 Nb 0.000 0.000 0.000 x4
2 As 0.000 0.000 0.500 x4
3 Au 0.232 0.250 0.625 x8

4.
DFT (PBE-GGA) results for Cu2HgW after structural relaxation.

## Properties
Total moment   0.0 μB per formula unit
Raw total energy   -4.79 eV/atom
Mass density   13.8 g/cm3

Cell lengths 2.724, 4.721, 9.545 Å; angles 90.00, 90.00, 90.00 degrees
Space group Imm2 (No. 44)
Symmetry-distinct sites (fractional):
1 Cu 0.000 0.000 0.000 x2
2 Cu 0.000 0.500 0.275 x2
3 Hg 0.000 0.500 0.752 x2
4 W 0.000 0.000 0.527 x2

5.
DFT (PBE-GGA) results for TbBeNi3 after structural relaxation.

## Properties
Total moment   0.1 μB per formula unit
Raw total energy   -5.12 eV/atom
Mass density   7.2 g/cm3

Cell lengths 4.560, 15.381, 4.511 Å; angles 90.00, 90.00, 90.00 degrees
Space group Cmcm (No. 63)
Symmetry-distinct sites (fractional):
1 Tb 0.000 0.102 0.250 x4
2 Be 0.000 0.381 0.250 x4
3 Ni 0.000 0.500 0.000 x4
4 Ni 0.244 0.232 0.750 x8

6.
DFT (PBE-GGA) results for RbBr2F2 after structural relaxation.

## Properties
Total moment   0.0 μB per formula unit
Raw total energy   -2.66 eV/atom
Mass density   3.4 g/cm3
Formation energy without anion corrections   -1045 meV per atom

Cell lengths 4.1717, 4.1717, 9.2386 Å; angles 90.00, 90.00, 120.00 degrees
Space group P-3m1 (No. 164)
Symmetry-distinct sites (fractional):
1 Rb 0.0000 0.0000 0.0000 x1
2 Br 0.3333 0.6667 0.3822 x2
3 F 0.3333 0.6667 0.1514 x2

7.
DFT (PBE-GGA) results for Tm2AgSn3 after structural relaxation.

## Properties
Total moment   0.0 μB per formula unit
Raw total energy   -4.18 eV/atom
Mass density   8.2 g/cm3

Cell lengths 13.462, 8.589, 5.648 Å; angles 90.00, 90.00, 90.00 degrees
Space group Cmcm (No. 63)
Symmetry-distinct sites (fractional):
1 Tm 0.138 0.185 0.250 x8
2 Ag 0.000 0.443 0.750 x4
3 Sn 0.000 0.106 0.750 x4
4 Sn 0.189 0.500 0.000 x8

8.
DFT (PBE-GGA) results for Be2FeHPt after structural relaxation.

## Properties
Total moment   1.3 μB per formula unit
Raw total energy   -5.33 eV/atom
Mass density   10.1 g/cm3

Cell lengths 3.772, 3.772, 3.133 Å; angles 90.00, 90.00, 90.00 degrees
Space group P4/mmm (No. 123)
Symmetry-distinct sites (fractional):
1 Be 0.000 0.500 0.000 x2
2 Fe 0.000 0.000 0.500 x1
3 H 0.000 0.000 0.000 x1
4 Pt 0.500 0.500 0.500 x1